Record 1
A plane-wave DFT calculation with GGA-PBE was carried out for MgSc2Tc after structural relaxation.

Values from the calculation:
Raw total energy, eV/atom: -5.880
Volume, Å³/cell: 169.9

CIF file:
```
data_MgSc2Tc
_space_group_name_H-M_alt 'P 1'
_space_group_IT_number 1
_space_group_name_Hall 'P 1'
_cell_length_a 4.547
_cell_length_b 4.547
_cell_length_c 9.487
_cell_angle_alpha 90.00
_cell_angle_beta 90.00
_cell_angle_gamma 120.00
loop_
_atom_site_label
_atom_site_type_symbol
_atom_site_fract_x
_atom_site_fract_y
_atom_site_fract_z
Mg1 Mg 0.333 0.667 0.250
Mg2 Mg 0.667 0.333 0.750
Sc1 Sc 0.333 0.667 0.579
Sc2 Sc 0.333 0.667 0.921
Sc3 Sc 0.667 0.333 0.079
Sc4 Sc 0.667 0.333 0.421
Tc1 Tc 0.000 0.000 0.000
Tc2 Tc 0.000 0.000 0.500
```

---

Record 2
A plane-wave DFT calculation with GGA-PBE was carried out for BaMgFeMo after structural relaxation.

Values from the calculation:
Raw total energy, eV/atom: -4.450
Volume, Å³/cell: 362.9

CIF file:
```
data_BaMgFeMo
_space_group_name_H-M_alt 'P 1'
_space_group_IT_number 1
_space_group_name_Hall 'P 1'
_cell_length_a 7.133
_cell_length_b 7.133
_cell_length_c 7.133
_cell_angle_alpha 90.00
_cell_angle_beta 90.00
_cell_angle_gamma 90.00
loop_
_atom_site_label
_atom_site_type_symbol
_atom_site_fract_x
_atom_site_fract_y
_atom_site_fract_z
Ba1 Ba 0.000 0.000 0.000
Ba2 Ba 0.000 0.500 0.500
Ba3 Ba 0.500 0.000 0.500
Ba4 Ba 0.500 0.500 0.000
Mg1 Mg 0.000 0.000 0.500
Mg2 Mg 0.000 0.500 0.000
Mg3 Mg 0.500 0.000 0.000
Mg4 Mg 0.500 0.500 0.500
Fe1 Fe 0.250 0.250 0.750
Fe2 Fe 0.250 0.750 0.250
Fe3 Fe 0.750 0.250 0.250
Fe4 Fe 0.750 0.750 0.750
Mo1 Mo 0.250 0.250 0.250
Mo2 Mo 0.250 0.750 0.750
Mo3 Mo 0.750 0.250 0.750
Mo4 Mo 0.750 0.750 0.250
```

---

Record 3
A plane-wave DFT calculation with GGA-PBE was carried out for Si2HgBi after structural relaxation.

Values from the calculation:
Raw total energy, eV/atom: -3.162
Volume, Å³/cell: 359.4

CIF file:
```
data_Si2HgBi
_space_group_name_H-M_alt 'P 1'
_space_group_IT_number 1
_space_group_name_Hall 'P 1'
_cell_length_a 7.110
_cell_length_b 7.110
_cell_length_c 7.110
_cell_angle_alpha 90.00
_cell_angle_beta 90.00
_cell_angle_gamma 90.00
loop_
_atom_site_label
_atom_site_type_symbol
_atom_site_fract_x
_atom_site_fract_y
_atom_site_fract_z
Si1 Si 0.000 0.000 0.000
Si2 Si 0.000 0.500 0.500
Si3 Si 0.250 0.250 0.250
Si4 Si 0.250 0.750 0.750
Si5 Si 0.500 0.000 0.500
Si6 Si 0.500 0.500 0.000
Si7 Si 0.750 0.250 0.750
Si8 Si 0.750 0.750 0.250
Hg1 Hg 0.250 0.250 0.750
Hg2 Hg 0.250 0.750 0.250
Hg3 Hg 0.750 0.250 0.250
Hg4 Hg 0.750 0.750 0.750
Bi1 Bi 0.000 0.000 0.500
Bi2 Bi 0.000 0.500 0.000
Bi3 Bi 0.500 0.000 0.000
Bi4 Bi 0.500 0.500 0.500
```